Computed, not measured: an optimized crystal structure of PrCdGe2 at the PBE level of DFT.

The structure belongs to space group R-3m (No. 166, hexagonal axes); the cell edges are 4.6238, 4.6238 and 15.2491 Å and the angles 90.00°, 90.00° and 120.00°. The inequivalent atoms are Pr at (0.0000, 0.0000, 0.0000), Cd at (0.0000, 0.0000, 0.5000) and Ge at (0.0000, 0.0000, 0.2269).

The value obtained for the energy is -48.2 eV per cell. Its energy relative to the lowest polymorph listed for this composition is 0.128 eV/atom. For the formation energy, the calculation gives -0.286 eV per atom. The value obtained for the total moment is 0.00 μB/atom.